Record 1
VASP calculation (PBE) on an optimized crystal structure of MgPbN2.

POSCAR file:
```
MgPbN2
1.0
-4.5259 2.0640 3.9528
-1.4294 2.6643 5.5881
-2.5848 4.9123 3.0913
Pb Mg N
1 1 2
Cartesian
0.0000 0.0000 0.0000
-4.2700 4.8203 6.3161
-7.5846 8.5620 11.2189
-0.9555 1.0786 1.4133
```

Record 2
VASP calculation (PBE) on an optimized crystal structure of CaPaAs2O8.

POSCAR file:
```
CaPaAs2O8
1.0
-4.0512 -3.6657 -2.5737
3.5648 -2.6596 4.0856
-3.1028 4.2938 2.8999
Ca Pa As O
1 1 2 8
Cartesian
0.0000 0.0000 0.0000
0.1094 -0.7643 3.8707
-3.6986 -1.2673 0.5411
-0.2432 -3.1627 0.7560
-2.3404 -0.2585 0.2152
-0.0670 -1.7179 1.8395
-3.3488 1.9428 2.0330
-4.8844 -0.0351 0.3312
-1.7158 -4.1692 1.0888
-3.8669 -2.6784 -0.4331
-3.7026 -2.0973 2.0509
-2.0470 -0.1187 3.8623
```

Record 3
AcYTh | Alexandria via LeMat-Bulk | PBE | optimized geometry; formation energy = 89 meV/atom; relative energy among the computed polymorphs = 4.9 meV per atom
1.0
-2.7645 2.3169 -0.8476
0.0340 -1.7221 3.2806
4.6881 6.9013 3.5742
Y Ac Th
1 1 1
Cartesian
2.2935 4.3236 4.3383
-0.2990 3.2268 1.6970
4.6512 6.8470 3.5460

Record 4
LiSmBi2Pd4 | Alexandria via LeMat-Bulk | PBE | optimized geometry; formation energy = -552 meV/atom
1.0
4.7885 0.0000 0.0000
2.3943 4.1470 0.0000
2.3943 1.3823 7.9888
Li Sm Bi Pd
1 1 2 4
Cartesian
4.7885 2.7646 3.9944
0.0000 0.0000 0.0000
7.1828 4.1470 5.8757
2.3943 1.3823 2.1131
4.7885 2.7646 6.7542
7.1828 4.1470 3.0460
2.3943 1.3823 4.9428
4.7885 2.7646 1.2345

Record 5
Hf2TlPb2 | Alexandria via LeMat-Bulk | PBE | optimized geometry; formation energy = 233 meV/atom; relative energy among the computed polymorphs = 106.3 meV per atom
1.0
-4.3845 7.8727 0.6143
-5.8755 -2.7829 -6.2701
-1.8883 -1.2324 2.3165
Pb Tl Hf
4 2 4
Cartesian
-6.3450 0.2988 -5.0133
-7.5726 4.6921 -3.6766
-3.9150 4.7909 -0.6425
-2.6874 0.3977 -1.9791
0.0000 0.0000 0.0000
-5.1300 2.5449 -2.8279
-5.1584 -1.3745 -2.6804
-8.8264 1.8629 -3.9482
-6.9899 5.2318 -0.6588
-3.3219 1.9944 0.6089

Record 6
Ac6RuAu3 | Alexandria via LeMat-Bulk | PBE | optimized geometry; formation energy = -534 meV/atom; relative energy among the computed polymorphs = 0.0 meV per atom
1.0
-0.9759 6.9724 -3.0223
-7.8728 -0.0764 2.3659
3.0136 3.7904 10.1506
Ac Ru Au
12 2 6
Cartesian
-3.9782 5.6126 10.5174
-4.9658 4.5620 6.7620
-3.9131 3.2837 2.9006
-1.9219 7.4027 6.5937
-0.8693 6.1244 2.7322
-1.8568 5.0738 -1.0231
-4.7881 7.2151 3.5748
-6.0156 6.1622 -0.1084
-5.9857 8.6351 7.3938
0.1506 2.0513 2.1005
0.1805 4.5243 9.6026
-1.0469 3.4713 5.9194
-2.9175 5.3432 4.7471
0.0000 0.0000 0.0000
1.0083 6.0424 6.7500
-4.4243 3.4480 -0.3282
-6.8434 4.6441 2.7442
-3.1592 7.6123 0.8166
1.5068 1.8952 5.0753
-2.6758 3.0741 8.6777

Record 7
Ca8Zn2Pd | Alexandria via LeMat-Bulk | PBE | optimized geometry; formation energy = -205 meV/atom; relative energy among the computed polymorphs = 0.0 meV per atom
1.0
-3.7374 -3.7340 -0.6363
5.0397 -4.6925 -2.0649
1.0444 1.1034 9.6406
Ca Zn Pd
8 2 1
Cartesian
2.1938 -3.2915 6.4295
2.7362 -6.6429 0.6600
1.1109 -5.5355 3.7085
-1.6121 -3.5462 8.0283
1.2357 -1.7875 3.2309
-0.3896 -0.6801 6.2793
0.1528 -4.0315 0.5099
3.9587 -3.7768 -1.0889
-0.9738 -3.6660 4.9824
3.3204 -3.6570 1.9570
-1.8687 -1.8670 -0.3182

In order of appearance, calculated density = 6.56 5.41 8.43 10.48 12.29 9.66 2.70 g cm⁻³.
In order of appearance, volume = 65.7 168.5 107.9 158.6 263.7 705.9 343.4 Å³/cell.
In order of appearance, raw total energy = -4.81 -7.25 -5.91 -4.95 -5.70 -4.91 -2.36 eV per atom.